PBE+U GaCoNO, relaxed; E above lowest polymorph = 0.0261 eV/atom; symmetry = No. 26
1.0
3.186 0.000 0.000
0.000 5.604 0.000
0.000 0.000 5.274
Ga Co N O
2 2 2 2
direct
0.000 0.150 0.000
0.000 0.850 0.500
0.500 0.330 0.490
0.500 0.670 0.990
0.000 0.162 0.359
0.000 0.838 0.859
0.500 0.323 0.881
0.500 0.677 0.381